# 1
Here is an optimized crystal structure of ScTlFeTe3 from OQMD. Energies are from GGA-PBE.

energy	-4.994	eV/atom
space group	P2_1/m, No. 11
crystal system	monoclinic
magnetization	0.57	μB/atom
polymorph energy (0 for the lowest one)	0	meV per atom

Cell lengths 9.598, 4.079, 9.994 Å; angles 90.00, 110.51, 90.00 degrees
Positions (direct):
Fe: 0.434 0.750 0.419
Fe: 0.566 0.250 0.581
Sc: 0.168 0.250 0.145
Sc: 0.832 0.750 0.855
Te: 0.388 0.750 0.143
Te: 0.959 0.750 0.165
Te: 0.277 0.250 0.466
Te: 0.723 0.750 0.534
Te: 0.041 0.250 0.835
Te: 0.612 0.250 0.857
Tl: 0.705 0.250 0.230
Tl: 0.295 0.750 0.770

---

# 2
Here is an optimized crystal structure of ScTlFeTe3 from OQMD. Energies are from GGA-PBE.

energy	-4.963	eV/atom
space group	Cmcm, No. 63
crystal system	orthorhombic
magnetization	0.62	μB/atom
polymorph energy (0 for the lowest one)	31	meV per atom

Cell lengths 10.878, 8.153, 8.153 Å; angles 150.58, 90.00, 90.00 degrees
Positions (direct):
Fe: 0.250 0.531 0.469
Fe: 0.750 0.469 0.531
Sc: 0.000 0.000 0.000
Sc: 0.500 0.000 0.000
Te: 0.250 0.928 0.072
Te: 0.056 0.627 0.373
Te: 0.444 0.627 0.373
Te: 0.556 0.373 0.627
Te: 0.944 0.373 0.627
Te: 0.750 0.072 0.928
Tl: 0.750 0.758 0.242
Tl: 0.250 0.242 0.758

---

# 3
Here is an optimized crystal structure of Zr3Sc3FeTe2 from OQMD. Energies are from GGA-PBE.

energy	-7.178	eV/atom
space group	P-62m, No. 189
crystal system	hexagonal
magnetization	0.00	μB/atom
polymorph energy (0 for the lowest one)	0	meV per atom

Cell lengths 7.833, 7.833, 3.637 Å; angles 90.00, 90.00, 120.00 degrees
Positions (direct):
Fe: 0.000 0.000 0.000
Sc: 0.396 0.000 0.000
Sc: 0.000 0.396 0.000
Sc: 0.604 0.604 0.000
Te: 0.667 0.333 0.500
Te: 0.333 0.667 0.500
Zr: 0.762 0.000 0.500
Zr: 0.238 0.238 0.500
Zr: 0.000 0.762 0.500

---

# 4
Here is an optimized crystal structure of Zr3Sc3FeTe2 from OQMD. Energies are from GGA-PBE.

energy	-7.106	eV/atom
space group	P-62m, No. 189
crystal system	hexagonal
magnetization	0.00	μB/atom
polymorph energy (0 for the lowest one)	72	meV per atom

Cell lengths 7.729, 7.729, 3.661 Å; angles 90.00, 90.00, 120.00 degrees
Positions (direct):
Fe: 0.000 0.000 0.000
Sc: 0.765 0.000 0.500
Sc: 0.235 0.235 0.500
Sc: 0.000 0.765 0.500
Te: 0.667 0.333 0.500
Te: 0.333 0.667 0.500
Zr: 0.398 0.000 0.000
Zr: 0.000 0.398 0.000
Zr: 0.602 0.602 0.000

---

# 5
Here is an optimized crystal structure of ScTlFe2 from OQMD. Energies are from GGA-PBE.

energy	-6.133	eV/atom
space group	F-43m, No. 216
crystal system	cubic
magnetization	1.12	μB/atom

Cell lengths 4.552, 4.552, 4.552 Å; angles 60.00, 60.00, 60.00 degrees
Positions (direct):
Fe: 0.000 0.000 0.000
Fe: 0.750 0.750 0.750
Sc: 0.250 0.250 0.250
Tl: 0.500 0.500 0.500

---

# 6
Here is an optimized crystal structure of ScTlFeW from OQMD. Energies are from GGA-PBE.

energy	-6.932	eV/atom
space group	F-43m, No. 216
crystal system	cubic
magnetization	0.49	μB/atom
polymorph energy (0 for the lowest one)	0	meV per atom

Cell lengths 4.594, 4.594, 4.594 Å; angles 60.00, 60.00, 60.00 degrees
Positions (direct):
Fe: 0.750 0.750 0.750
Sc: 0.250 0.250 0.250
Tl: 0.000 0.000 0.000
W: 0.500 0.500 0.500

---

# 7
Here is an optimized crystal structure of YScTlFe from OQMD. Energies are from GGA-PBE.

energy	-5.749	eV/atom
space group	F-43m, No. 216
crystal system	cubic
magnetization	0.25	μB/atom
polymorph energy (0 for the lowest one)	0	meV per atom

Cell lengths 4.871, 4.871, 4.871 Å; angles 60.00, 60.00, 60.00 degrees
Positions (direct):
Fe: 0.750 0.750 0.750
Sc: 0.250 0.250 0.250
Tl: 0.000 0.000 0.000
Y: 0.500 0.500 0.500

---

# 8
Here is an optimized crystal structure of ZrScTlFe from OQMD. Energies are from GGA-PBE.

energy	-6.323	eV/atom
space group	F-43m, No. 216
crystal system	cubic
magnetization	0.00	μB/atom
polymorph energy (0 for the lowest one)	0	meV per atom

Cell lengths 4.699, 4.699, 4.699 Å; angles 60.00, 60.00, 60.00 degrees
Positions (direct):
Fe: 0.750 0.750 0.750
Sc: 0.250 0.250 0.250
Tl: 0.000 0.000 0.000
Zr: 0.500 0.500 0.500